[1]
First-principles (GGA-PBEsol) data for a geometry-optimized Ba2BeSi structure, as listed in Alexandria via LeMat-Bulk.

Structure (POSCAR):
```
Ba2BeSi
1.0
0.000 3.814 3.814
3.814 0.000 3.814
3.814 3.814 0.000
Ba Be Si
2 1 1
direct
0.000 0.000 0.000 Ba
0.250 0.250 0.250 Ba
0.750 0.750 0.750 Be
0.500 0.500 0.500 Si
```

Results
**Uncorrected energy**: -11.92 eV/f.u.
**V**: 27.74 Å³/atom
**Energy relative to the elements, uncorrected**: 0.5310 eV per atom
**SG**: F-43m, No. 216
**Energy relative to the lowest polymorph listed for this composition**: 707 meV/atom
**M_tot**: 0.000 μB/atom

---

[2]
First-principles (GGA-PBEsol) data for a geometry-optimized Sb2IrPb structure, as listed in Alexandria via LeMat-Bulk.

Structure (POSCAR):
```
Sb2IrPb
1.0
-2.311 2.311 4.157
2.311 -2.311 4.157
2.311 2.311 -4.157
Sb Ir Pb
2 1 1
direct
0.000 0.000 0.000 Sb
0.750 0.250 0.500 Sb
0.500 0.500 0.000 Ir
0.250 0.750 0.500 Pb
```

Results
**Uncorrected energy**: -21.15 eV/f.u.
**V**: 22.20 Å³/atom
**Energy relative to the elements, uncorrected**: 0.4472 eV per atom
**SG**: I-4m2, No. 119
**M_tot**: 0.000 μB/atom